## Rb4YPu3O12 (GGA-PBE)

Data for a relaxed Rb4YPu3O12 crystal.

Summary:
Spin magnetization: 7.0 μB/f.u.
Calculated total energy: -0.60177 Ry/atom

a b c (Å): 8.645 8.645 8.645
angles (deg): 90.00 90.00 90.00
Space group Im-3m (No. 229)
Unique sites:
1 Rb 0.250 0.250 0.250 x8
2 Y 0.000 0.000 0.000 x2
3 Pu 0.000 0.000 0.500 x6
4 O 0.000 0.000 0.267 x12
5 O 0.000 0.250 0.500 x12

***

## RhPbO (GGA-PBE)

Data for a relaxed RhPbO crystal.

Summary:
Spin magnetization: 0.0 μB/f.u.
Calculated total energy: -0.41823 Ry/atom

a b c (Å): 5.024 6.638 10.065
angles (deg): 102.82 101.33 100.20
Space group P-1 (No. 2)
Unique sites:
1 Rh 0.000 0.000 0.000 x1
2 Rh 0.093 0.569 0.139 x2
3 Rh 0.195 0.709 0.479 x2
4 Rh 0.500 0.500 0.000 x1
5 Pb 0.221 0.109 0.420 x2
6 Pb 0.293 0.562 0.715 x2
7 Pb 0.446 0.084 0.844 x2
8 O 0.042 0.892 0.181 x2
9 O 0.250 0.303 0.098 x2
10 O 0.415 0.670 0.324 x2

***

Values of energy relative to the elements, uncorrected, in order: -2.546, -0.351, all in eV per atom.